Entry 1:
Below is Y3ErTl4S8 after structural relaxation, with properties calculated at the PBE-GGA level.

Calculated values
E_form (uncorrected)   -144.0 kJ per mole of atoms
Spin magnetization   0.00 μB per atom
Calculated volume   422.3 Å³/cell

Geometry as extended XYZ:
```
16
Lattice="4.0264 2.3247 7.5202 -4.0264 2.3247 7.5202 0.0000 -4.6493 7.5202" Properties=species:S:1:pos:R:3 pbc="T T T"
Y -2.0132 -1.1623 7.5202
Y -2.0132 1.1623 15.0403
Y 0.0000 2.3247 7.5201
Er 0.0000 0.0000 0.0000
Tl -4.0264 0.0000 11.2802
Tl -2.0132 1.1623 3.7601
Tl 2.0132 1.1623 3.7601
Tl 0.0000 0.0000 11.2802
S 0.0000 -2.3416 9.0045
S -2.0279 1.1708 9.0045
S -2.0279 -1.1708 13.5559
S 0.0000 0.0000 6.0278
S 0.0000 0.0000 16.5326
S 2.0279 1.1708 9.0045
S 2.0279 -1.1708 13.5559
S 0.0000 2.3416 13.5559
```

***

Entry 2:
Below is YEr4TlS8 after structural relaxation, with properties calculated at the PBE-GGA level.

Calculated values
E_form (uncorrected)   -175.0 kJ per mole of atoms
Spin magnetization   0.00 μB per atom
Calculated volume   384.3 Å³/cell

Geometry as extended XYZ:
```
14
Lattice="4.0692 2.3494 6.7002 -4.0692 2.3494 6.7002 0.0000 -4.6988 6.7002" Properties=species:S:1:pos:R:3 pbc="T T T"
Y 0.0000 0.0000 0.0000
Er 0.0000 2.4264 16.6345
Er 2.1013 -1.2132 16.6345
Er -2.1013 -1.2132 16.6345
Er 0.0000 0.0000 12.4834
Tl 0.0000 0.0000 7.4216
S -2.1488 -1.2406 11.5786
S 0.0000 0.0000 4.5870
S 0.0000 -2.6496 8.4203
S -2.2946 1.3248 8.4203
S 2.1488 -1.2406 11.5786
S 0.0000 2.4812 11.5786
S 0.0000 0.0000 15.1374
S 2.2946 1.3248 8.4203
```

***

Entry 3:
Below is ErTlZnS3 after structural relaxation, with properties calculated at the PBE-GGA level.

Calculated values
E_form (uncorrected)   -117.0 kJ per mole of atoms
Spin magnetization   0.00 μB per atom
Calculated volume   313.7 Å³/cell

Geometry as extended XYZ:
```
12
Lattice="8.7969 0.0000 0.0000 0.0000 3.9640 0.0000 -2.9358 0.0000 8.9972" Properties=species:S:1:pos:R:3 pbc="T T T"
Er 1.0755 0.9910 1.2784
Er 4.7856 2.9730 7.7188
Tl 0.2476 2.9730 7.0268
Tl 5.6136 0.9910 1.9704
Zn 2.5359 2.9730 3.5144
Zn 3.3253 0.9910 5.4828
S -2.1573 0.9910 7.6106
S 1.3200 0.9910 4.1267
S 2.9559 2.9730 1.2307
S 2.9052 0.9910 7.7664
S 4.5412 2.9730 4.8705
S 8.0185 2.9730 1.3866
```